# SmEr5Ru3, relaxed, DFT PBE
data_SmEr5Ru3
_chemical_formula_sum 'Sm4 Er20 Ru12'
_cell_length_a 12.274
_cell_length_b 8.934
_cell_length_c 9.925
_cell_angle_alpha 90.00
_cell_angle_beta 112.68
_cell_angle_gamma 90.00
_symmetry_space_group_name_H-M 'C 1 2/m 1'
_symmetry_Int_Tables_number 12
_symmetry_space_group_name_Hall '-C 2y'
loop_
_atom_site_label
_atom_site_type_symbol
_atom_site_fract_x
_atom_site_fract_y
_atom_site_fract_z
Sm1 Sm 0.106 0.000 0.302
Er1 Er 0.000 0.303 0.000
Er2 Er 0.072 0.500 0.371
Er3 Er 0.163 0.199 0.672
Er4 Er 0.233 0.000 0.032
Ru1 Ru 0.000 0.000 0.000
Ru2 Ru 0.000 0.000 0.500
Ru3 Ru 0.160 0.500 0.671
Ru4 Ru 0.168 0.500 0.168
# ΔH_f (0 K) = -0.2210 eV/atom
# calculated volume = 27.89 Å³/atom